# 1
Here is a relaxed Li2MnW crystal from the Alexandria database. Energies are from PBE.

Crystal system: monoclinic
E above lowest polymorph (meV/atom): 107

abc: 5.0198 9.7264 2.6011
angles: 90.00 114.05 90.00
Closest atoms and distances in Å follow each position.
Atoms (fractional coordinates):
Li 0.2500 0.2500 0.0000  6 Li 2.51-2.78, 2 Mn 2.80, 2 W 2.80
Li 0.2500 0.7500 0.0000  6 Li 2.51-2.78, 2 Mn 2.80, 2 W 2.80
Li 0.7500 0.2500 0.0000  6 Li 2.51-2.78, 2 W 2.80, 2 Mn 2.80
Li 0.7500 0.7500 0.0000  6 Li 2.51-2.78, 2 Mn 2.80, 2 W 2.80
Mn 0.0000 0.0000 0.5000  4 W 2.51-2.78, 2 Mn 2.60, 4 Li 2.80
Mn 0.5000 0.5000 0.5000  4 W 2.51-2.78, 2 Mn 2.60, 4 Li 2.80
W 0.0000 0.5000 0.5000  4 Mn 2.51-2.78, 2 W 2.60, 4 Li 2.80
W 0.5000 0.0000 0.5000  4 Mn 2.51-2.78, 2 W 2.60, 4 Li 2.80

***

# 2
Here is a relaxed Sr2Ag2F7 crystal from the Alexandria database. Energies are from PBE.

Formation energy from raw total energies (eV/atom): -2.56
Crystal system: monoclinic
E above lowest polymorph (meV/atom): 0

abc: 6.6713 6.6713 5.9656
angles: 96.06 96.06 113.83
Closest atoms and distances in Å follow each position.
Atoms (fractional coordinates):
Sr 0.1827 0.8173 0.0000  6 F 2.39-2.50
Sr 0.8173 0.1827 0.0000  6 F 2.39-2.50
Ag 0.2467 0.2467 0.6253  4 F 2.12-2.34
Ag 0.7533 0.7533 0.3747  4 F 2.12-2.34
F 0.0373 0.0373 0.2471  2 Ag 2.34-2.47, 2 Sr 2.50
F 0.0842 0.4510 0.8025  1 Ag 2.30, 2 Sr 2.39-2.46
F 0.4510 0.0842 0.8025  1 Ag 2.30, 2 Sr 2.39-2.46
F 0.5000 0.5000 0.5000  2 Ag 2.12
F 0.5490 0.9158 0.1975  1 Ag 2.30, 2 Sr 2.39-2.46
F 0.9158 0.5490 0.1975  1 Ag 2.30, 2 Sr 2.39-2.46
F 0.9627 0.9627 0.7529  2 Ag 2.34-2.47, 2 Sr 2.50

***

# 3
Here is a relaxed La6Ga2AsI3 crystal from the Alexandria database. Energies are from PBE.

Formation energy from raw total energies (eV/atom): -1.03
Crystal system: monoclinic

abc: 7.7712 7.7712 8.0976
angles: 99.18 99.18 120.02
Closest atoms and distances in Å follow each position.
Atoms (fractional coordinates):
La 0.0976 0.4302 0.7908  1 As 3.04, 2 Ga 3.05
La 0.2363 0.2363 0.2084  1 As 3.04, 2 Ga 3.05
La 0.4302 0.0976 0.7908  1 As 3.04, 2 Ga 3.05
La 0.5698 0.9024 0.2092  1 As 3.04, 2 Ga 3.05
La 0.7637 0.7637 0.7916  1 As 3.04, 2 Ga 3.05
La 0.9024 0.5698 0.2092  1 As 3.04, 2 Ga 3.05
Ga 0.1670 0.8330 0.0000  6 La 3.05
Ga 0.8330 0.1670 0.0000  6 La 3.05
As 0.5000 0.5000 0.0000  6 La 3.04
I 0.0000 0.0000 0.5000  6 La 3.42
I 0.3332 0.6668 0.5000  6 La 3.42
I 0.6668 0.3332 0.5000  6 La 3.42

***

# 4
Here is a relaxed LiCdTc2 crystal from the Alexandria database. Energies are from PBE.

Crystal system: monoclinic

abc: 2.8543 3.8077 5.8871
angles: 90.00 94.60 90.00
Closest atoms and distances in Å follow each position.
Atoms (fractional coordinates):
Li 0.0000 0.0000 0.0000  4 Cd 2.70-2.77, 5 Tc 2.70-2.95, 2 Li 2.85
Cd 0.4876 0.5000 0.7708  4 Li 2.70-2.77, 2 Cd 2.85, 4 Tc 2.92-3.00
Tc 0.4903 0.5000 0.2744  2 Tc 2.46
Tc 0.9232 0.0000 0.4540  2 Tc 2.46, 1 Li 2.70

***

# 5
Here is a relaxed TiBiAsW2 crystal from the Alexandria database. Energies are from PBE.

Crystal system: tetragonal

abc: 4.8313 4.8313 4.6531
angles: 90.00 90.00 90.00
Closest atoms and distances in Å follow each position.
Atoms (fractional coordinates):
Ti 0.0000 0.0000 0.0000  2 As 2.33, 4 W 2.42
Bi 0.5000 0.5000 0.5000  8 W 3.35, 4 As 3.42
As 0.0000 0.0000 0.5000  2 Ti 2.33
W 0.0000 0.5000 0.0000  2 Ti 2.42
W 0.5000 0.0000 0.0000  2 Ti 2.42

***

# 6
Here is a relaxed LiBSb2Te crystal from the Alexandria database. Energies are from PBE.

Formation energy from raw total energies (eV/atom): 0.53
Crystal system: tetragonal
E above lowest polymorph (meV/atom): 0

abc: 4.8865 4.8865 5.0285
angles: 90.00 90.00 90.00
Closest atoms and distances in Å follow each position.
Atoms (fractional coordinates):
Li 0.0000 0.0000 0.0000  4 Te 3.46, 8 Sb 3.51
B 0.5000 0.5000 0.5000  4 Sb 2.44, 2 Te 2.51
Sb 0.0000 0.5000 0.5000  2 B 2.44
Sb 0.5000 0.0000 0.5000  2 B 2.44
Te 0.5000 0.5000 0.0000  2 B 2.51

***

# 7
Here is a relaxed Ho3Mg9Ag2 crystal from the Alexandria database. Energies are from PBE.

Crystal system: orthorhombic

abc: 8.6165 8.6165 8.6165
angles: 146.83 100.57 88.83
Closest atoms and distances in Å follow each position.
Atoms (fractional coordinates):
Ho 0.0000 0.0000 0.0000  12 Mg 3.29-3.47, 2 Ho 3.53
Ho 0.2870 0.2870 0.0000  2 Ag 3.11, 4 Mg 3.43
Ho 0.7130 0.7130 0.0000  2 Ag 3.11, 4 Mg 3.43
Mg 0.9996 0.3676 0.6320  1 Ag 2.88, 4 Mg 2.91-3.01
Mg 0.0004 0.6324 0.3680  1 Ag 2.88, 4 Mg 2.91-3.01
Mg 0.1384 0.8628 0.2756  4 Mg 2.92-3.01, 2 Ag 3.09
Mg 0.2644 0.6324 0.6320  1 Ag 2.88, 4 Mg 2.91-3.01
Mg 0.4128 0.1372 0.2756  4 Mg 2.92-3.01, 2 Ag 3.09
Mg 0.5000 0.0000 0.5000  4 Ag 2.98, 4 Mg 2.99
Mg 0.5872 0.8628 0.7244  4 Mg 2.92-3.01, 2 Ag 3.09
Mg 0.7356 0.3676 0.3680  1 Ag 2.88, 4 Mg 2.91-3.01
Mg 0.8616 0.1372 0.7244  4 Mg 2.92-3.01, 2 Ag 3.09
Ag 0.3477 0.5000 0.8477  8 Mg 2.88-3.09, 2 Ho 3.11
Ag 0.6523 0.5000 0.1523  8 Mg 2.88-3.09, 2 Ho 3.11

***

# 8
Here is a relaxed Li2UPaS6 crystal from the Alexandria database. Energies are from PBE.

Formation energy from raw total energies (eV/atom): -1.32
Crystal system: monoclinic

abc: 6.5689 7.0128 11.8252
angles: 90.00 123.52 90.00
Closest atoms and distances in Å follow each position.
Atoms (fractional coordinates):
Li 0.2461 0.0694 0.2463  4 S 2.60-2.71
Li 0.2461 0.4306 0.7463  4 S 2.60-2.71
Li 0.7539 0.5694 0.2537  4 S 2.60-2.71
Li 0.7539 0.9306 0.7537  4 S 2.60-2.71
U 0.0000 0.0000 0.5000  6 S 2.60-2.64
U 0.0000 0.5000 0.0000  6 S 2.60-2.64
Pa 0.5000 0.0000 0.0000  6 S 2.63-2.66
Pa 0.5000 0.5000 0.5000  6 S 2.63-2.66
S 0.0919 0.1767 0.9271  1 U 2.61, 1 Pa 2.63, 1 Li 2.66
S 0.0919 0.3233 0.4271  1 U 2.61, 1 Pa 2.63, 1 Li 2.66
S 0.2564 0.6755 0.9252  1 U 2.60, 1 Pa 2.64, 1 Li 2.70
S 0.2564 0.8245 0.4252  1 U 2.60, 1 Pa 2.64, 1 Li 2.70
S 0.3803 0.0646 0.7487  2 Li 2.60-2.71, 1 U 2.64, 1 Pa 2.66
S 0.3803 0.4354 0.2487  2 Li 2.60-2.71, 1 U 2.64, 1 Pa 2.66
S 0.6197 0.5646 0.7513  2 Li 2.60-2.71, 1 U 2.64, 1 Pa 2.66
S 0.6197 0.9354 0.2513  2 Li 2.60-2.71, 1 U 2.64, 1 Pa 2.66
S 0.7436 0.1755 0.5748  1 U 2.60, 1 Pa 2.64, 1 Li 2.70
S 0.7436 0.3245 0.0748  1 U 2.60, 1 Pa 2.64, 1 Li 2.70
S 0.9081 0.6767 0.5729  1 U 2.61, 1 Pa 2.63, 1 Li 2.66
S 0.9081 0.8233 0.0729  1 U 2.61, 1 Pa 2.63, 1 Li 2.66

***

# 9
Here is a relaxed Ba3Ga4Au2 crystal from the Alexandria database. Energies are from PBE.

Crystal system: monoclinic

abc: 6.7240 6.7240 9.3996
angles: 96.13 96.13 38.93
Closest atoms and distances in Å follow each position.
Atoms (fractional coordinates):
Ba 0.0000 0.0000 0.0000  4 Au 3.57, 8 Ga 3.59-3.66
Ba 0.3260 0.3260 0.3316  4 Au 3.55-3.71, 8 Ga 3.58-3.65
Ba 0.6740 0.6740 0.6684  4 Au 3.55-3.71, 8 Ga 3.58-3.65
Ga 0.0506 0.0506 0.3915  1 Ga 2.53, 2 Au 2.64
Ga 0.2775 0.2775 0.9489  2 Ga 2.57, 1 Au 2.68
Ga 0.7225 0.7225 0.0511  2 Ga 2.57, 1 Au 2.68
Ga 0.9494 0.9494 0.6085  1 Ga 2.53, 2 Au 2.64
Au 0.3919 0.3919 0.7263  3 Ga 2.64-2.68
Au 0.6081 0.6081 0.2737  3 Ga 2.64-2.68

***

# 10
Here is a relaxed BaV2Br crystal from the Alexandria database. Energies are from PBE.

Formation energy from raw total energies (eV/atom): 1.30
Crystal system: cubic
E above lowest polymorph (meV/atom): 668

abc: 6.7967 6.7967 6.7967
angles: 90.00 90.00 90.00
Closest atoms and distances in Å follow each position.
Atoms (fractional coordinates):
Ba 0.0000 0.0000 0.0000  8 V 2.94
Ba 0.0000 0.5000 0.5000  8 V 2.94
Ba 0.5000 0.0000 0.5000  8 V 2.94
Ba 0.5000 0.5000 0.0000  8 V 2.94
V 0.2500 0.2500 0.2500  4 Ba 2.94, 4 Br 2.94
V 0.2500 0.2500 0.7500  4 Ba 2.94, 4 Br 2.94
V 0.2500 0.7500 0.2500  4 Ba 2.94, 4 Br 2.94
V 0.2500 0.7500 0.7500  4 Ba 2.94, 4 Br 2.94
V 0.7500 0.2500 0.2500  4 Ba 2.94, 4 Br 2.94
V 0.7500 0.2500 0.7500  4 Ba 2.94, 4 Br 2.94
V 0.7500 0.7500 0.2500  4 Ba 2.94, 4 Br 2.94
V 0.7500 0.7500 0.7500  4 Ba 2.94, 4 Br 2.94
Br 0.0000 0.0000 0.5000  8 V 2.94
Br 0.0000 0.5000 0.0000  8 V 2.94
Br 0.5000 0.0000 0.0000  8 V 2.94
Br 0.5000 0.5000 0.5000  8 V 2.94

***

# 11
Here is a relaxed LaTlOs2 crystal from the Alexandria database. Energies are from PBE.

Crystal system: tetragonal
E above lowest polymorph (meV/atom): 513

abc: 3.5294 3.5294 6.6474
angles: 90.00 90.00 90.00
Closest atoms and distances in Å follow each position.
Atoms (fractional coordinates):
La 0.0000 0.0000 0.0000  8 Os 3.13, 2 Tl 3.32
Tl 0.0000 0.0000 0.5000  8 Os 2.88
Os 0.5000 0.5000 0.2847  1 Os 2.86, 4 Tl 2.88, 4 La 3.13
Os 0.5000 0.5000 0.7153  1 Os 2.86, 4 Tl 2.88, 4 La 3.13

***

| no. | total DFT energy (no corrections) (eV/atom) | DOS at the Fermi energy (states/eV per atom) | mass density (g/cm3) |
| --- | --- | --- | --- |
| 1 | -6.07 | 0.5717 | 7.24 |
| 2 | -4.57 | 0.0840 | 3.65 |
| 3 | -4.77 | 0.4772 | 5.91 |
| 4 | -5.70 | 0.6440 | 8.21 |
| 5 | -7.00 | 1.2820 | 10.69 |
| 6 | -3.47 | 0.8329 | 5.38 |
| 7 | -2.49 | 0.9182 | 4.63 |
| 8 | -6.26 | 0.0918 | 4.94 |
| 9 | -3.27 | 0.6098 | 6.79 |
| 10 | -4.16 | 1.1337 | 6.75 |
| 11 | -6.65 | 1.5411 | 14.51 |